1.
Compound: NpCuRe
Source: the Open Quantum Materials Database
Functional: PBE-GGA
Structure: optimized geometry

It has space group F-43m (No. 216), with a = 6.160 Å, b = 6.160 Å, c = 6.160 Å, α = 90.00°, β = 90.00° and γ = 90.00°. The inequivalent atoms are Np at (0.000, 0.000, 0.000), Cu at (0.250, 0.250, 0.750) and Re at (0.250, 0.250, 0.250).

For the formation enthalpy at 0 K, the calculation gives 3.70 eV/f.u. The calculation puts the magnetic moment at 0.0 μB per formula unit. The uncorrected energy comes out at -8.40 eV/atom. The calculation puts the relative energy among the computed polymorphs at 437 meV/atom. For the density, the calculation gives 13.83 g/cm3.

=====

2.
Compound: HoMg
Source: the Open Quantum Materials Database
Functional: PBE-GGA
Structure: optimized geometry

It has space group P-6m2 (No. 187), with a = 3.4063 Å, b = 3.4063 Å, c = 16.5343 Å, α = 90.00°, β = 90.00° and γ = 120.00°. The inequivalent atoms are Ho at (0.0000, 0.0000, 0.0000), Ho at (0.3333, 0.6667, 0.1744), Mg at (0.0000, 0.0000, 0.3428) and Mg at (0.3333, 0.6667, 0.5000).

The calculation puts the magnetic moment at 0.0 μB per formula unit. The uncorrected energy comes out at -3.03 eV/atom. For the density, the calculation gives 5.67 g/cm3.

=====

3.
Compound: SmPuFe
Source: the Open Quantum Materials Database
Functional: PBE-GGA
Structure: optimized geometry

It has space group F-43m (No. 216), with a = 6.416 Å, b = 6.416 Å, c = 6.416 Å, α = 90.00°, β = 90.00° and γ = 90.00°. The inequivalent atoms are Sm at (0.000, 0.000, 0.000), Pu at (0.250, 0.250, 0.750) and Fe at (0.000, 0.000, 0.500).

For the formation enthalpy at 0 K, the calculation gives 4.23 eV/f.u. The calculation puts the magnetic moment at 0.0 μB per formula unit. The uncorrected energy comes out at -7.64 eV/atom. The calculation puts the relative energy among the computed polymorphs at 0 meV/atom. For the density, the calculation gives 11.32 g/cm3.

=====

Look up the uncorrected energy of the first one. -8.40 eV/atom

=====

What is the uncorrected energy in the third record? -7.64 eV/atom